UTc4Ge PBE optimized geometry; final energy = -113.55 eV per cell
1.0
5.581 0.537 0.787
-0.350 6.483 -0.482
-0.350 -2.819 5.858
U Ge Tc
2 2 8
Direct
0.281 0.178 0.178
0.719 0.822 0.822
0.000 0.322 0.678
0.000 0.678 0.322
0.724 0.453 0.453
0.208 0.735 0.004
0.792 0.996 0.265
0.500 0.727 0.273
0.500 0.273 0.727
0.792 0.265 0.996
0.208 0.004 0.735
0.276 0.547 0.547